## RbAl2Sn2 (PBE-GGA)

Data for RbAl2Sn2 after structural relaxation.

a b c (Å): 8.939 8.939 3.340
angles (deg): 90.00 90.00 90.00
Space group P4/mbm (No. 127)
One atom of each set of equivalent atoms:
Rb  0.000  0.000  0.000 (multiplicity 2)
Al  0.128  0.372  0.000 (multiplicity 4)
Sn  0.152  0.652  0.500 (multiplicity 4)

Output
Relative energy among the computed polymorphs: 149 meV per atom
Energy of formation: 0.092 eV/atom
Size of the total moment: 0.000 μB/atom